Entry 1:
Density functional theory data (GGA-PBE) for AlBSb2I after structural relaxation.

Unit cell a=5.2878 b=5.2878 c=5.5395 alpha=90.00 beta=90.00 gamma=90.00
With the nearest neighbours (Å) after each atom.
Element x y z (fractional)
Al (0.0000, 0.0000, 0.0000)  4 Sb 2.64, 2 I 2.77
B (0.5000, 0.5000, 0.5000)  4 I 3.74, 8 Sb 3.83
Sb (0.0000, 0.5000, 0.0000)  2 Al 2.64
Sb (0.5000, 0.0000, 0.0000)  2 Al 2.64
I (0.0000, 0.0000, 0.5000)  2 Al 2.77

## Properties
- Space group: No. 123
- Energy relative to the lowest polymorph listed for this composition: 471 meV/atom
- Density of states at the Fermi level: 4.09 states/eV per cell

=====

Entry 2:
Density functional theory data (GGA-PBE) for Al2BSbI after structural relaxation.

Unit cell a=5.7419 b=5.7419 c=4.3833 alpha=90.00 beta=90.00 gamma=90.00
With the nearest neighbours (Å) after each atom.
Element x y z (fractional)
Al (0.0000, 0.5000, 0.0000)  2 Sb 2.87
Al (0.5000, 0.0000, 0.0000)  2 Sb 2.87
B (0.0000, 0.0000, 0.5000)  2 Sb 2.19
Sb (0.0000, 0.0000, 0.0000)  2 B 2.19
I (0.5000, 0.5000, 0.5000)  8 Al 3.61

## Properties
- Space group: No. 123
- Raw total energy: -14.823 eV per cell
- Density of states at the Fermi level: 3.22 states/eV per cell

=====

Entry 3:
Density functional theory data (GGA-PBE) for AlBTe2I after structural relaxation.

Unit cell a=5.3637 b=5.3637 c=5.5127 alpha=90.00 beta=90.00 gamma=90.00
With the nearest neighbours (Å) after each atom.
Element x y z (fractional)
Al (0.0000, 0.0000, 0.0000)  4 Te 2.68, 2 I 2.76
B (0.5000, 0.5000, 0.5000)  4 I 3.79, 8 Te 3.85
Te (0.0000, 0.5000, 0.0000)  2 Al 2.68
Te (0.5000, 0.0000, 0.0000)  2 Al 2.68
I (0.0000, 0.0000, 0.5000)  2 Al 2.76

## Properties
- Space group: No. 123
- Energy relative to the lowest polymorph listed for this composition: 350 meV/atom
- Density of states at the Fermi level: 4.09 states/eV per cell

=====

Entry 4:
Density functional theory data (GGA-PBE) for AlBTe2I after structural relaxation.

Unit cell a=4.9702 b=4.9702 c=5.0056 alpha=90.00 beta=90.00 gamma=90.00
With the nearest neighbours (Å) after each atom.
Element x y z (fractional)
Al (0.0000, 0.0000, 0.0000)  4 I 3.51, 8 Te 3.53
B (0.5000, 0.5000, 0.5000)  4 Te 2.49, 2 I 2.50
Te (0.0000, 0.5000, 0.5000)  2 B 2.49
Te (0.5000, 0.0000, 0.5000)  2 B 2.49
I (0.5000, 0.5000, 0.0000)  2 B 2.50

## Properties
- Space group: No. 123
- Energy relative to the lowest polymorph listed for this composition: 0 meV/atom
- Density of states at the Fermi level: 3.64 states/eV per cell